First-principles (PBE) data for LiMn2Tl after structural relaxation, as listed in the Alexandria database.

Unit cell a=5.640 b=7.856 c=3.107 alpha=90.00 beta=90.00 gamma=90.00
Fractional positions:
1 Li 0.000 0.000 0.000
2 Li 0.500 0.500 0.000
3 Mn 0.250 0.250 0.500
4 Mn 0.250 0.750 0.500
5 Mn 0.750 0.250 0.500
6 Mn 0.750 0.750 0.500
7 Tl 0.000 0.500 0.000
8 Tl 0.500 0.000 0.000

## Properties
formation energy from the elements = 172 kJ/mol of formula units
total DFT energy (no corrections) = -0.1915 hartree per atom
space-group type = No. 65
crystal system = orthorhombic
M_tot = 7.086 μB/f.u.